# Nd6Y2Tm3In | the Alexandria database | PBE-GGA | relaxed
data_Nd6Y2Tm3In
_space_group_name_H-M_alt 'C 1 2/m 1'
_space_group_IT_number 12
_space_group_name_Hall '-C 2y'
_cell_length_a 6.179
_cell_length_b 10.723
_cell_length_c 11.808
_cell_angle_alpha 90.00
_cell_angle_beta 100.13
_cell_angle_gamma 90.00
loop_
_atom_site_label
_atom_site_fract_x
_atom_site_fract_y
_atom_site_fract_z
_atom_site_occupancy
Nd1 0.243 0.000 0.248 1
Nd2 0.247 0.164 0.751 1
Y1 0.000 0.333 0.500 1
Tm1 0.000 0.168 0.000 1
Tm2 0.000 0.500 0.000 1
In1 0.000 0.000 0.500 1
# Calculated volume   32.1 Å³ per atom
# E_form   -0.4 eV per formula unit
# VASP energy   -4.843 eV per atom
# Total magnetic moment   0.00 μB/f.u.